No. 1
Density functional theory data (GGA-PBE) for La2Os after structural relaxation. Values from VASP.

Structure (Quantum ESPRESSO input):
```
&SYSTEM
  ibrav = 0, nat = 6, ntyp = 2
/
ATOMIC_SPECIES
La 138.91 La.upf
Os 190.23 Os.upf
CELL_PARAMETERS angstrom
6.709 0.000 0.000
0.000 6.769 0.000
0.000 0.000 4.324
ATOMIC_POSITIONS crystal
La 0.224 0.169 0.000
La 0.276 0.669 0.500
La 0.724 0.331 0.500
La 0.776 0.831 0.000
Os 0.000 0.000 0.500
Os 0.500 0.500 0.000
```

Computed properties:
* density: 7.92 g/cm³
* E_form: -11.6 kJ per mole of atoms
* N(E_F): 1.2 states/eV/f.u.

---

No. 2
Density functional theory data (GGA-PBE) for PdCI2N after structural relaxation. Values from VASP.

Structure (Quantum ESPRESSO input):
```
&SYSTEM
  ibrav = 0, nat = 5, ntyp = 4
/
ATOMIC_SPECIES
Pd 106.42 Pd.upf
C 12.01 C.upf
I 126.90 I.upf
N 14.01 N.upf
CELL_PARAMETERS angstrom
6.312 0.000 0.000
0.000 6.312 0.000
0.000 0.000 2.681
ATOMIC_POSITIONS crystal
Pd 0.000 0.000 0.000
C 0.500 0.500 0.500
I 0.000 0.500 0.500
I 0.500 0.000 0.500
N 0.500 0.500 0.000
```

Computed properties:
* density: 6.01 g/cm³
* N(E_F): 8.2 states/eV/f.u.
* polymorph energy (0 for the lowest one): 0.0000 eV per atom

---

No. 3
Density functional theory data (GGA-PBE) for Sm3Pu2Ru4 after structural relaxation. Values from VASP.

Structure (Quantum ESPRESSO input):
```
&SYSTEM
  ibrav = 0, nat = 9, ntyp = 3
/
ATOMIC_SPECIES
Sm 150.36 Sm.upf
Pu 244.00 Pu.upf
Ru 101.07 Ru.upf
CELL_PARAMETERS angstrom
5.527 -2.112 0.000
5.527 2.112 0.000
-1.774 0.000 8.782
ATOMIC_POSITIONS crystal
Sm 0.000 0.000 0.000
Sm 0.375 0.375 0.613
Sm 0.625 0.625 0.387
Pu 0.328 0.328 0.216
Pu 0.672 0.672 0.784
Ru 0.088 0.088 0.630
Ru 0.282 0.282 0.906
Ru 0.718 0.718 0.094
Ru 0.912 0.912 0.370
```

Computed properties:
* density: 10.88 g/cm³
* E_form: -27.8 kJ per mole of atoms
* N(E_F): 10.1 states/eV/f.u.

---

No. 4
Density functional theory data (GGA-PBE) for TaTl3N after structural relaxation. Values from VASP.

Structure (Quantum ESPRESSO input):
```
&SYSTEM
  ibrav = 0, nat = 5, ntyp = 3
/
ATOMIC_SPECIES
Ta 180.95 Ta.upf
Tl 204.38 Tl.upf
N 14.01 N.upf
CELL_PARAMETERS angstrom
5.504 0.000 0.000
0.000 5.504 0.000
0.000 0.000 5.504
ATOMIC_POSITIONS crystal
Ta 0.000 0.000 0.000
Tl 0.000 0.000 0.500
Tl 0.000 0.500 0.000
Tl 0.500 0.000 0.000
N 0.500 0.500 0.500
```

Computed properties:
* density: 8.05 g/cm³
* N(E_F): 9.3 states/eV/f.u.
* polymorph energy (0 for the lowest one): 0.5090 eV per atom

---

No. 5
Density functional theory data (GGA-PBE) for Y4Tl3Zn after structural relaxation. Values from VASP.

Structure (Quantum ESPRESSO input):
```
&SYSTEM
  ibrav = 0, nat = 8, ntyp = 3
/
ATOMIC_SPECIES
Y 88.91 Y.upf
Tl 204.38 Tl.upf
Zn 65.41 Zn.upf
CELL_PARAMETERS angstrom
3.661 0.000 0.000
0.000 3.661 0.000
0.000 0.000 15.680
ATOMIC_POSITIONS crystal
Y 0.000 0.000 0.109
Y 0.000 0.000 0.369
Y 0.000 0.000 0.631
Y 0.000 0.000 0.891
Tl 0.500 0.500 0.237
Tl 0.500 0.500 0.500
Tl 0.500 0.500 0.763
Zn 0.500 0.500 0.000
```

Computed properties:
* density: 8.17 g/cm³
* E_form: -37.0 kJ per mole of atoms
* N(E_F): 6.4 states/eV/f.u.

---

No. 6
Density functional theory data (GGA-PBE) for In4Pd2Au5 after structural relaxation. Values from VASP.

Structure (Quantum ESPRESSO input):
```
&SYSTEM
  ibrav = 0, nat = 11, ntyp = 3
/
ATOMIC_SPECIES
In 114.82 In.upf
Pd 106.42 Pd.upf
Au 196.97 Au.upf
CELL_PARAMETERS angstrom
7.225 0.000 0.000
0.000 3.301 0.000
-0.997 0.000 9.051
ATOMIC_POSITIONS crystal
In 0.192 0.000 0.381
In 0.235 0.000 0.937
In 0.765 0.000 0.063
In 0.808 0.000 0.619
Pd 0.081 0.500 0.148
Pd 0.919 0.500 0.852
Au 0.177 0.500 0.645
Au 0.473 0.500 0.168
Au 0.500 0.500 0.500
Au 0.527 0.500 0.832
Au 0.823 0.500 0.355
```

Computed properties:
* density: 12.75 g/cm³
* E_form: -21.4 kJ per mole of atoms
* N(E_F): 3.4 states/eV/f.u.

---

No. 7
Density functional theory data (GGA-PBE) for PmPrHg6 after structural relaxation. Values from VASP.

Structure (Quantum ESPRESSO input):
```
&SYSTEM
  ibrav = 0, nat = 8, ntyp = 3
/
ATOMIC_SPECIES
Pm 145.00 Pm.upf
Pr 140.91 Pr.upf
Hg 200.59 Hg.upf
CELL_PARAMETERS angstrom
5.069 0.000 0.000
0.000 3.410 5.889
0.000 -3.410 5.889
ATOMIC_POSITIONS crystal
Pm 0.000 0.000 0.000
Pr 0.500 0.330 0.330
Hg 0.000 0.501 0.501
Hg 0.000 0.505 0.987
Hg 0.000 0.987 0.505
Hg 0.500 0.337 0.827
Hg 0.500 0.827 0.337
Hg 0.500 0.831 0.831
```

Computed properties:
* density: 12.15 g/cm³
* E_form: -37.9 kJ per mole of atoms
* N(E_F): 5.9 states/eV/f.u.

---

No. 8
Density functional theory data (GGA-PBE) for LaC4 after structural relaxation. Values from VASP.

Structure (Quantum ESPRESSO input):
```
&SYSTEM
  ibrav = 0, nat = 5, ntyp = 2
/
ATOMIC_SPECIES
La 138.91 La.upf
C 12.01 C.upf
CELL_PARAMETERS angstrom
4.647 0.000 0.000
0.000 4.647 0.000
0.000 0.000 4.647
ATOMIC_POSITIONS crystal
La 0.000 0.000 0.000
C 0.000 0.000 0.500
C 0.000 0.500 0.000
C 0.500 0.000 0.000
C 0.500 0.500 0.500
```

Computed properties:
* density: 3.09 g/cm³
* E_form: 408.7 kJ per mole of atoms
* N(E_F): 4.6 states/eV/f.u.

---

No. 9
Density functional theory data (GGA-PBE) for Er3TmRh3 after structural relaxation. Values from VASP.

Structure (Quantum ESPRESSO input):
```
&SYSTEM
  ibrav = 0, nat = 14, ntyp = 3
/
ATOMIC_SPECIES
Er 167.26 Er.upf
Tm 168.93 Tm.upf
Rh 102.91 Rh.upf
CELL_PARAMETERS angstrom
4.834 -4.867 0.000
4.834 4.867 0.000
0.000 0.000 6.622
ATOMIC_POSITIONS crystal
Er 0.246 0.246 0.000
Er 0.246 0.754 0.000
Er 0.249 0.249 0.500
Er 0.751 0.751 0.500
Er 0.754 0.246 0.000
Er 0.754 0.754 0.000
Tm 0.242 0.758 0.500
Tm 0.758 0.242 0.500
Rh 0.000 0.000 0.250
Rh 0.000 0.000 0.750
Rh 0.000 0.500 0.251
Rh 0.000 0.500 0.749
Rh 0.500 0.000 0.251
Rh 0.500 0.000 0.749
```

Computed properties:
* density: 10.44 g/cm³
* E_form: -75.1 kJ per mole of atoms
* N(E_F): 3.0 states/eV/f.u.

---

No. 10
Density functional theory data (GGA-PBE) for K2InSbSe4 after structural relaxation. Values from VASP.

Structure (Quantum ESPRESSO input):
```
&SYSTEM
  ibrav = 0, nat = 16, ntyp = 4
/
ATOMIC_SPECIES
K 39.10 K.upf
In 114.82 In.upf
Sb 121.76 Sb.upf
Se 78.96 Se.upf
CELL_PARAMETERS angstrom
-4.298 4.381 6.149
4.298 -4.381 6.149
4.298 4.381 -6.149
ATOMIC_POSITIONS crystal
K 0.000 0.000 0.000
K 0.500 0.000 0.000
K 0.500 0.000 0.500
K 0.500 0.500 0.500
In 0.000 0.000 0.500
In 0.000 0.500 0.000
Sb 0.000 0.500 0.500
Sb 0.500 0.500 0.000
Se 0.204 0.739 0.465
Se 0.227 0.261 0.965
Se 0.231 0.254 0.522
Se 0.231 0.709 0.978
Se 0.769 0.291 0.022
Se 0.769 0.746 0.478
Se 0.773 0.739 0.035
Se 0.796 0.261 0.535
```

Computed properties:
* DFT total energy: -0.1326 Ha/atom
* density: 4.52 g/cm³

---

No. 11
Density functional theory data (GGA-PBE) for Bi2O3 after structural relaxation. Values from VASP.

Structure (Quantum ESPRESSO input):
```
&SYSTEM
  ibrav = 0, nat = 20, ntyp = 2
/
ATOMIC_SPECIES
Bi 208.98 Bi.upf
O 16.00 O.upf
CELL_PARAMETERS angstrom
11.882 0.000 0.000
0.000 5.763 0.000
0.000 0.000 5.692
ATOMIC_POSITIONS crystal
Bi 0.127 0.188 0.051
Bi 0.127 0.812 0.551
Bi 0.373 0.312 0.551
Bi 0.373 0.688 0.051
Bi 0.627 0.312 0.949
Bi 0.627 0.688 0.449
Bi 0.873 0.188 0.449
Bi 0.873 0.812 0.949
O 0.000 0.053 0.750
O 0.000 0.947 0.250
O 0.213 0.097 0.393
O 0.213 0.903 0.893
O 0.287 0.403 0.893
O 0.287 0.597 0.393
O 0.500 0.447 0.250
O 0.500 0.553 0.750
O 0.713 0.403 0.607
O 0.713 0.597 0.107
O 0.787 0.097 0.107
O 0.787 0.903 0.607
```

Computed properties:
* DFT total energy: -0.2107 Ha/atom
* density: 7.94 g/cm³
* N(E_F): 0.0 states/eV/f.u.

---

No. 12
Density functional theory data (GGA-PBE) for Tl8PdAu2 after structural relaxation. Values from VASP.

Structure (Quantum ESPRESSO input):
```
&SYSTEM
  ibrav = 0, nat = 11, ntyp = 3
/
ATOMIC_SPECIES
Tl 204.38 Tl.upf
Pd 106.42 Pd.upf
Au 196.97 Au.upf
CELL_PARAMETERS angstrom
9.001 -2.481 0.000
9.001 2.481 0.000
-1.983 0.000 6.573
ATOMIC_POSITIONS crystal
Tl 0.025 0.025 0.288
Tl 0.205 0.205 0.801
Tl 0.341 0.341 0.532
Tl 0.409 0.409 0.062
Tl 0.591 0.591 0.938
Tl 0.659 0.659 0.468
Tl 0.795 0.795 0.199
Tl 0.975 0.975 0.712
Pd 0.500 0.500 0.500
Au 0.183 0.183 0.216
Au 0.817 0.817 0.784
```

Computed properties:
* density: 12.08 g/cm³
* E_form: -3.3 kJ per mole of atoms
* N(E_F): 3.8 states/eV/f.u.
* polymorph energy (0 for the lowest one): 0.0000 eV per atom

---

Question: What is the formula in the eighth record?
Answer: LaC4

---

Question: Look up the density of the fourth one.
Answer: 8.05 g/cm³